DFT (GGA-PBE) results for a relaxed Pm5Hg2RuRh2 crystal.

Lattice parameters (Å, degrees): 3.6311 11.7940 11.7940 90.00 90.00 90.00
Fractional coordinates of all 20 atoms:
Hg 0.0000 0.8238 0.6762
Pm 0.5000 0.6916 0.4235
Rh 0.0000 0.1333 0.6333
Pm 0.5000 0.8084 0.9235
Rh 0.0000 0.3667 0.1333
Pm 0.5000 0.9235 0.1916
Hg 0.0000 0.6762 0.1762
Pm 0.5000 0.0000 0.5000
Rh 0.0000 0.6333 0.8667
Pm 0.5000 0.3084 0.5765
Ru 0.0000 0.0000 0.0000
Ru 0.0000 0.5000 0.5000
Hg 0.0000 0.3238 0.8238
Hg 0.0000 0.1762 0.3238
Rh 0.0000 0.8667 0.3667
Pm 0.5000 0.0765 0.8084
Pm 0.5000 0.5000 0.0000
Pm 0.5000 0.1916 0.0765
Pm 0.5000 0.4235 0.3084
Pm 0.5000 0.5765 0.6916

As for the magnetization: 0.00 μB per formula unit. For the energy relative to the elements, the calculation gives -9.99 kcal/mol of atoms. For the volume, the calculation gives 25.3 A^3/atom.